# HgBrN2F

An optimized crystal structure of HgBrN2F (PBE, the Alexandria database).

Computed properties:
N(E_F)   1.105 states/eV per atom
Distance to the lowest polymorph of the same formula   0 meV per atom
Space-group type   P4/mmm, No. 123
Crystal system   tetragonal
Spin magnetization   0.684 μB/atom
ΔE_f (raw)   7.80 eV/f.u.

Structure (extended XYZ):
```
5
Lattice="4.478 0.000 0.000 0.000 4.478 0.000 0.000 0.000 4.465" Properties=species:S:1:pos:R:3 pbc="T T T"
Hg 0.000 0.000 0.000
Br 2.239 2.239 2.232
N 0.000 2.239 0.000
N 2.239 0.000 0.000
F 0.000 0.000 2.232
```